1.
Compound: Cs2KPdCl6
Source: the Open Quantum Materials Database
Functional: GGA-PBE
Structure: relaxed

Structure (CIF):
```
data_Cs2KPdCl6
_chemical_formula_sum 'Cs4 K2 Pd2 Cl12'
_cell_length_a 7.499
_cell_length_b 7.499
_cell_length_c 11.370
_cell_angle_alpha 90.00
_cell_angle_beta 90.00
_cell_angle_gamma 90.00
_symmetry_space_group_name_H-M 'I 4/m'
_symmetry_Int_Tables_number 87
_symmetry_space_group_name_Hall '-I 4'
loop_
_atom_site_label
_atom_site_fract_x
_atom_site_fract_y
_atom_site_fract_z
Cs1 0.000 0.500 0.250
K1 0.000 0.000 0.000
Pd1 0.000 0.000 0.500
Cl1 0.000 0.000 0.268
Cl2 0.167 0.267 0.500
```

Values from the calculation:
* final energy: -65.2 eV for the cell shown



2.
Compound: BeCdAsO
Source: the Open Quantum Materials Database
Functional: GGA-PBE
Structure: relaxed

Structure (CIF):
```
data_BeCdAsO
_chemical_formula_sum 'Be2 Cd2 As2 O2'
_cell_length_a 2.837
_cell_length_b 6.636
_cell_length_c 6.428
_cell_angle_alpha 90.00
_cell_angle_beta 90.00
_cell_angle_gamma 90.00
_symmetry_space_group_name_H-M 'P m c 21'
_symmetry_Int_Tables_number 26
_symmetry_space_group_name_Hall 'P 2c -2'
loop_
_atom_site_label
_atom_site_fract_x
_atom_site_fract_y
_atom_site_fract_z
Be1 0.000 0.231 0.000
Cd1 0.500 0.344 0.590
As1 0.000 0.094 0.336
O1 0.500 0.334 0.952
```

Values from the calculation:
* ΔE to the lowest computed polymorph: 0.0 meV per atom



3.
Compound: Y2ErGe4Pd4
Source: the Open Quantum Materials Database
Functional: GGA-PBE
Structure: relaxed

Structure (CIF):
```
data_Y2ErGe4Pd4
_chemical_formula_sum 'Y4 Er2 Ge8 Pd8'
_cell_length_a 4.189
_cell_length_b 7.101
_cell_length_c 13.985
_cell_angle_alpha 90.00
_cell_angle_beta 90.00
_cell_angle_gamma 90.00
_symmetry_space_group_name_H-M 'I m m m'
_symmetry_Int_Tables_number 71
_symmetry_space_group_name_Hall '-I 2 2'
loop_
_atom_site_label
_atom_site_fract_x
_atom_site_fract_y
_atom_site_fract_z
Y1 0.000 0.000 0.126
Er1 0.000 0.500 0.000
Ge1 0.000 0.312 0.500
Ge2 0.000 0.500 0.218
Pd1 0.000 0.200 0.325
```

Values from the calculation:
* final energy: -133.2 eV for the cell shown



4.
Compound: Rb2NaZnBr6
Source: the Open Quantum Materials Database
Functional: GGA-PBE
Structure: relaxed

Structure (CIF):
```
data_Rb2NaZnBr6
_chemical_formula_sum 'Rb4 Na2 Zn2 Br12'
_cell_length_a 7.757
_cell_length_b 7.757
_cell_length_c 10.972
_cell_angle_alpha 90.00
_cell_angle_beta 90.00
_cell_angle_gamma 90.00
_symmetry_space_group_name_H-M 'I 4/m'
_symmetry_Int_Tables_number 87
_symmetry_space_group_name_Hall '-I 4'
loop_
_atom_site_label
_atom_site_fract_x
_atom_site_fract_y
_atom_site_fract_z
Rb1 0.000 0.500 0.250
Na1 0.000 0.000 0.000
Zn1 0.000 0.000 0.500
Br1 0.000 0.000 0.262
Br2 0.235 0.759 0.500
```

Values from the calculation:
* final energy: -52.5 eV for the cell shown



5.
Compound: GdTmRe
Source: the Open Quantum Materials Database
Functional: GGA-PBE
Structure: relaxed

Structure (CIF):
```
data_GdTmRe
_chemical_formula_sum 'Gd4 Tm4 Re4'
_cell_length_a 6.724
_cell_length_b 6.724
_cell_length_c 6.724
_cell_angle_alpha 90.00
_cell_angle_beta 90.00
_cell_angle_gamma 90.00
_symmetry_space_group_name_H-M 'F -4 3 m'
_symmetry_Int_Tables_number 216
_symmetry_space_group_name_Hall 'F -4 2 3'
loop_
_atom_site_label
_atom_site_fract_x
_atom_site_fract_y
_atom_site_fract_z
Gd1 0.000 0.000 0.000
Tm1 0.250 0.250 0.250
Re1 0.000 0.000 0.500
```

Values from the calculation:
* ΔE to the lowest computed polymorph: 0.0 meV per atom



6.
Compound: Hf2GaW
Source: the Open Quantum Materials Database
Functional: GGA-PBE
Structure: relaxed

Structure (CIF):
```
data_Hf2GaW
_chemical_formula_sum 'Hf8 Ga4 W4'
_cell_length_a 6.622
_cell_length_b 6.622
_cell_length_c 6.622
_cell_angle_alpha 90.00
_cell_angle_beta 90.00
_cell_angle_gamma 90.00
_symmetry_space_group_name_H-M 'F -4 3 m'
_symmetry_Int_Tables_number 216
_symmetry_space_group_name_Hall 'F -4 2 3'
loop_
_atom_site_label
_atom_site_fract_x
_atom_site_fract_y
_atom_site_fract_z
Hf1 0.000 0.000 0.000
Hf2 0.250 0.250 0.250
Ga1 0.000 0.000 0.500
W1 0.250 0.250 0.750
```

Values from the calculation:
* final energy: -141.6 eV for the cell shown